*1*
Here is RuAu2Br after structural relaxation from Alexandria via LeMat-Bulk. Energies are from GGA-PBE.

abc: 4.7817 4.7817 4.7817
angles: 60.00 60.00 60.00
With the nearest neighbours (Å) after each atom.
Fractional coordinates of all 4 atoms:
Ru 0.0000 0.0000 0.0000  8 Au 2.93
Au 0.2500 0.2500 0.2500  4 Br 2.93, 4 Ru 2.93
Au 0.7500 0.7500 0.7500  4 Br 2.93, 4 Ru 2.93
Br 0.5000 0.5000 0.5000  8 Au 2.93

Computed properties:
Calculated density ... 12.349 g cm⁻³

*2*
Here is RuAu2Br after structural relaxation from Alexandria via LeMat-Bulk. Energies are from GGA-PBE.

abc: 7.0499 7.0499 7.0499
angles: 155.95 142.37 45.16
With the nearest neighbours (Å) after each atom.
Fractional coordinates of all 4 atoms:
Ru 0.0000 0.0000 0.0000  2 Br 2.49, 6 Au 2.77
Au 0.1807 0.6807 0.5000  2 Ru 2.77, 4 Au 2.87-2.94
Au 0.5457 0.5457 0.0000  4 Ru 2.77, 4 Au 2.87-2.94
Br 0.8459 0.3459 0.5000  2 Ru 2.49

Computed properties:
Calculated density ... 10.977 g cm⁻³

Which one sits at the bottom of the stability order? *1* does.

*1*
Here is RuAu2Br after structural relaxation from Alexandria via LeMat-Bulk. Energies are from GGA-PBE.

abc: 3.9217 3.9217 4.9383
angles: 90.00 90.00 90.00
With the nearest neighbours (Å) after each atom.
Fractional coordinates of all 4 atoms:
Ru 0.0000 0.0000 0.0000  4 Br 2.77
Au 0.0000 0.5000 0.5000  4 Au 2.77
Au 0.5000 0.0000 0.5000  4 Au 2.77
Br 0.5000 0.5000 0.0000  4 Ru 2.77

Computed properties:
Calculated density ... 12.569 g cm⁻³

*2*
Here is RuAu2Br after structural relaxation from Alexandria via LeMat-Bulk. Energies are from GGA-PBE.

abc: 4.7336 4.7336 4.7336
angles: 119.88 119.88 90.20
With the nearest neighbours (Å) after each atom.
Fractional coordinates of all 4 atoms:
Ru 0.0000 0.0000 0.0000  4 Br 2.90, 4 Au 2.90
Au 0.5000 0.5000 0.0000  4 Br 2.90, 4 Au 2.90
Au 0.7500 0.2500 0.5000  4 Ru 2.90, 4 Au 2.90
Br 0.2500 0.7500 0.5000  4 Ru 2.90, 4 Au 2.90

Computed properties:
Calculated density ... 12.706 g cm⁻³

*3*
Here is RuAu2Br after structural relaxation from Alexandria via LeMat-Bulk. Energies are from GGA-PBE.

abc: 3.0342 3.0342 8.3152
angles: 90.00 90.00 90.00
With the nearest neighbours (Å) after each atom.
Fractional coordinates of all 4 atoms:
Ru 0.0000 0.0000 0.0000  4 Br 2.61, 4 Au 2.88
Au 0.0000 0.0000 0.4659  8 Au 2.90-3.03
Au 0.5000 0.5000 0.2305  4 Ru 2.88, 8 Au 2.90-3.03
Br 0.5000 0.5000 0.8208  4 Ru 2.61

Computed properties:
Calculated density ... 12.470 g cm⁻³

Which one sits at the bottom of the stability order? *1* does.

*1*
Here is RuAu2Br after structural relaxation from Alexandria via LeMat-Bulk. Energies are from GGA-PBE.

abc: 2.7830 2.7830 11.2890
angles: 90.00 90.00 90.00
With the nearest neighbours (Å) after each atom.
Fractional coordinates of all 4 atoms:
Ru 0.0000 0.0000 0.0000  4 Ru 2.78, 8 Au 2.84
Au 0.5000 0.5000 0.1815  4 Au 2.78, 4 Ru 2.84
Au 0.5000 0.5000 0.8185  4 Au 2.78, 4 Ru 2.84
Br 0.0000 0.0000 0.5000  4 Br 2.78

Computed properties:
Calculated density ... 10.918 g cm⁻³

*2*
Here is RuAu2Br after structural relaxation from Alexandria via LeMat-Bulk. Energies are from GGA-PBE.

abc: 2.9361 3.2151 8.4738
angles: 90.00 90.48 90.00
With the nearest neighbours (Å) after each atom.
Fractional coordinates of all 4 atoms:
Ru 0.0000 0.0000 0.0000  2 Br 2.42
Au 0.4948 0.5000 0.7854  4 Ru 2.84, 6 Au 2.89-2.94
Au 0.9892 0.0000 0.5610  8 Au 2.89-3.22
Br 0.0054 0.5000 0.2135  2 Ru 2.42

Computed properties:
Calculated density ... 11.935 g cm⁻³

*3*
Here is RuAu2Br after structural relaxation from Alexandria via LeMat-Bulk. Energies are from GGA-PBE.

abc: 3.0044 3.0044 10.3111
angles: 90.00 90.00 122.24
With the nearest neighbours (Å) after each atom.
Fractional coordinates of all 4 atoms:
Ru 0.0000 0.0000 0.0000  2 Br 2.48, 2 Au 2.75
Au 0.0000 0.0000 0.4701  8 Au 2.90-3.00
Au 0.5000 0.5000 0.2263  2 Ru 2.75, 8 Au 2.90-3.00
Br 0.5000 0.5000 0.8044  2 Ru 2.48

Computed properties:
Calculated density ... 12.126 g cm⁻³

Which one sits at the bottom of the stability order? *1* does.

*1*
Here is RuAu2Br after structural relaxation from Alexandria via LeMat-Bulk. Energies are from GGA-PBE.

abc: 6.4764 6.4764 6.4764
angles: 98.55 98.55 134.64
With the nearest neighbours (Å) after each atom.
Fractional coordinates of all 8 atoms:
Ru 0.0000 0.0000 0.0000  2 Br 2.50, 4 Au 2.70
Ru 0.7500 0.2500 0.5000  2 Br 2.50, 4 Au 2.70
Au 0.0592 0.6250 0.9342  2 Ru 2.70, 2 Au 2.73
Au 0.3750 0.3092 0.4342  2 Ru 2.70, 2 Au 2.73
Au 0.6908 0.1250 0.0658  2 Ru 2.70, 2 Au 2.73
Au 0.8750 0.9408 0.5658  2 Ru 2.70, 2 Au 2.73
Br 0.2500 0.7500 0.5000  2 Ru 2.50
Br 0.5000 0.5000 0.0000  2 Ru 2.50

Computed properties:
Calculated density ... 10.706 g cm⁻³

*2*
Here is RuAu2Br after structural relaxation from Alexandria via LeMat-Bulk. Energies are from GGA-PBE.

abc: 5.7749 5.7749 5.7749
angles: 140.61 140.61 56.93
With the nearest neighbours (Å) after each atom.
Fractional coordinates of all 4 atoms:
Ru 0.0000 0.0000 0.0000  4 Br 2.75
Au 0.2500 0.7500 0.5000  4 Au 2.75
Au 0.7500 0.2500 0.5000  4 Au 2.75
Br 0.5000 0.5000 0.0000  4 Ru 2.75

Computed properties:
Calculated density ... 12.409 g cm⁻³

Which one sits at the bottom of the stability order? *2* does.